This record from Alexandria via LeMat-Bulk describes a geometry-optimized SrPtSe2 structure. The functional is PBE.

Results
The uncorrected formation energy comes out at -952.4 meV/atom. As for the spin magnetization: 0.000 μB per formula unit. Its energy above the most stable polymorph in this dataset is 0.059 eV/atom.

```
data_SrPtSe2
_chemical_formula_sum 'Sr1 Pt1 Se2'
_cell_length_a 4.8060
_cell_length_b 4.8143
_cell_length_c 4.8826
_cell_angle_alpha 90.00
_cell_angle_beta 103.26
_cell_angle_gamma 90.00
_symmetry_space_group_name_H-M 'P 1 m 1'
_symmetry_Int_Tables_number 6
_symmetry_space_group_name_Hall 'P -2y'
loop_
_atom_site_label
_atom_site_type_symbol
_atom_site_fract_x
_atom_site_fract_y
_atom_site_fract_z
Sr1 Sr 0.0000 0.0000 0.0000
Pt1 Pt 0.4768 0.5000 0.3841
Se1 Se 0.3302 0.5000 0.8501
Se2 Se 0.6220 0.0000 0.4152
```